# 1
Here is crystalline BaH3Rh at its relaxed geometry from the Alexandria database. Energies are from PBE.

Properties
Final energy: -4.06 eV per atom
Total magnetization: 0.0 μB per cell

a b c (Å): 13.1557 3.2301 6.3240
angles (deg): 90.00 101.15 90.00
Space group C2/m (No. 12)
Inequivalent atoms, fractional coordinates:
Ba (0.1468, 0.0000, 0.2048) (multiplicity 4)
H (0.0427, 0.0000, 0.7671) (multiplicity 4)
H (0.1462, 0.0000, 0.6208) (multiplicity 4)
H (0.1763, 0.5000, 0.9182) (multiplicity 4)
Rh (0.0868, 0.5000, 0.6863) (multiplicity 4)

***

# 2
Here is crystalline TaZnPd2 at its relaxed geometry from the Alexandria database. Energies are from PBE.

Properties
Final energy: -6.14 eV per atom
Calculated formation energy: -25.47 kJ/mol of atoms
Total magnetization: 0.0 μB per cell

a b c (Å): 4.7356 4.7356 2.8355
angles (deg): 90.00 90.00 90.00
Space group P4/mmm (No. 123)
Inequivalent atoms, fractional coordinates:
Ta (0.0000, 0.0000, 0.0000) (multiplicity 1)
Zn (0.5000, 0.5000, 0.0000) (multiplicity 1)
Pd (0.0000, 0.5000, 0.5000) (multiplicity 2)

***

# 3
Here is crystalline PaAlCuPt at its relaxed geometry from the Alexandria database. Energies are from PBE.

Properties
Final energy: -6.39 eV per atom
Calculated formation energy: -52.26 kJ/mol of atoms
Total magnetization: 0.0 μB per cell

a b c (Å): 6.6498 6.6498 6.6498
angles (deg): 90.00 90.00 90.00
Space group F-43m (No. 216)
Inequivalent atoms, fractional coordinates:
Pa (0.0000, 0.0000, 0.0000) (multiplicity 4)
Al (0.0000, 0.0000, 0.5000) (multiplicity 4)
Cu (0.2500, 0.2500, 0.2500) (multiplicity 4)
Pt (0.2500, 0.2500, 0.7500) (multiplicity 4)